1.
The following is a PBE with a Hubbard U calculation of a geometry-optimized MnSnRhO6 structure, from Alexandria.

Cell: 4.6293 4.6293 9.4169 Å, 90.00 90.00 90.00°
With the nearest neighbours (Å) after each atom.
Fractional positions:
Rh: 0.0000 0.0000 0.6656  6 O 1.98-2.02
Rh: 0.5000 0.5000 0.1656  6 O 1.98-2.02
O: 0.1971 0.8029 0.1601  1 Rh 1.98, 1 Mn 1.99, 1 Sn 2.08
O: 0.6847 0.6847 0.3372  1 Mn 1.95, 1 Rh 2.02, 1 Sn 2.06
O: 0.3153 0.3153 0.3372  1 Mn 1.95, 1 Rh 2.02, 1 Sn 2.06
O: 0.8153 0.1847 0.8372  1 Mn 1.95, 1 Rh 2.02, 1 Sn 2.06
O: 0.2003 0.7997 0.5033  1 Mn 1.96, 1 Rh 2.01, 1 Sn 2.07
O: 0.7003 0.7003 0.0033  1 Mn 1.96, 1 Rh 2.01, 1 Sn 2.07
O: 0.7997 0.2003 0.5033  1 Mn 1.96, 1 Rh 2.01, 1 Sn 2.07
O: 0.8029 0.1971 0.1601  1 Rh 1.98, 1 Mn 1.99, 1 Sn 2.08
O: 0.2997 0.2997 0.0033  1 Mn 1.96, 1 Rh 2.01, 1 Sn 2.07
O: 0.6971 0.6971 0.6601  1 Rh 1.98, 1 Mn 1.99, 1 Sn 2.08
O: 0.3029 0.3029 0.6601  1 Rh 1.98, 1 Mn 1.99, 1 Sn 2.08
O: 0.1847 0.8153 0.8372  1 Mn 1.95, 1 Rh 2.02, 1 Sn 2.06
Sn: 0.5000 0.5000 0.8333  6 O 2.06-2.08
Sn: 0.0000 0.0000 0.3333  6 O 2.06-2.08
Mn: 0.5000 0.5000 0.4999  6 O 1.95-1.99
Mn: 0.0000 0.0000 0.9999  6 O 1.95-1.99

crystal system: tetragonal
space-group type: P4_2nm (102)
raw total energy: -118.09 eV for the cell shown

=====

2.
The following is a PBE with a Hubbard U calculation of a geometry-optimized SrMnRhO6 structure, from Alexandria.

Cell: 5.1478 5.1478 5.4022 Å, 90.00 90.00 60.00°
With the nearest neighbours (Å) after each atom.
Fractional positions:
Sr: 0.0000 0.0000 0.0000  6 O 2.54
Rh: 0.3333 0.3333 0.5000  6 O 1.96
O: 0.9945 0.6244 0.6990  1 Mn 1.92, 1 Rh 1.96
O: 0.6243 0.3811 0.6990  1 Mn 1.92, 1 Rh 1.96
O: 0.3811 0.6244 0.3010  1 Mn 1.92, 1 Rh 1.96
O: 0.3811 0.9945 0.6990  1 Mn 1.92, 1 Rh 1.96
O: 0.6243 0.9945 0.3010  1 Mn 1.92, 1 Rh 1.96
O: 0.9945 0.3811 0.3010  1 Mn 1.92, 1 Rh 1.96
Mn: 0.6666 0.6667 0.5000  6 O 1.92

crystal system: trigonal
space-group type: P312 (149)
raw total energy: -58.44 eV for the cell shown

=====

3.
The following is a PBE with a Hubbard U calculation of a geometry-optimized Sr3Mn2RhO9 structure, from Alexandria.

Cell: 5.5678 5.5678 6.8422 Å, 90.00 90.00 120.00°
With the nearest neighbours (Å) after each atom.
Fractional positions:
O: 0.1681 0.3361 0.3336  1 Rh 1.98, 1 Mn 1.99
O: 0.8319 0.1681 0.6664  1 Rh 1.98, 1 Mn 1.99
O: 0.8319 0.6639 0.6664  1 Rh 1.98, 1 Mn 1.99
O: 0.5000 0.0000 0.0000  2 Mn 1.94
O: 0.6639 0.8319 0.3336  1 Rh 1.98, 1 Mn 1.99
O: 0.0000 0.5000 0.0000  2 Mn 1.94
O: 0.3361 0.1681 0.6664  1 Rh 1.98, 1 Mn 1.99
O: 0.5000 0.5000 0.0000  2 Mn 1.94
O: 0.1681 0.8319 0.3336  1 Rh 1.98, 1 Mn 1.99
Mn: 0.3333 0.6667 0.1585  6 O 1.94-1.99
Mn: 0.6667 0.3333 0.8415  6 O 1.94-1.99
Sr: 0.0000 0.0000 0.0000  12 O 2.78-2.80
Sr: 0.3333 0.6667 0.6700  12 O 2.77-2.80
Sr: 0.6667 0.3333 0.3300  12 O 2.77-2.80
Rh: 0.0000 0.0000 0.5000  6 O 1.98

crystal system: trigonal
space-group type: P-3m1 (164)
raw total energy: -100.05 eV for the cell shown

=====

4.
The following is a PBE with a Hubbard U calculation of a geometry-optimized MnTcRhO6 structure, from Alexandria.

Cell: 5.0957 5.0957 9.2692 Å, 90.00 90.00 120.00°
With the nearest neighbours (Å) after each atom.
Fractional positions:
Rh: 0.6667 0.3333 0.7500  6 O 2.02
Rh: 0.3333 0.6667 0.2500  6 O 2.02
O: 0.6393 0.9863 0.8675  1 Tc 1.93, 1 Rh 2.02
O: 0.3470 0.9863 0.6325  1 Tc 1.93, 1 Rh 2.02
O: 0.6530 0.6393 0.1325  1 Tc 1.93, 1 Rh 2.02
O: 0.3607 0.0137 0.1325  1 Tc 1.93, 1 Rh 2.02
O: 0.3470 0.3607 0.8675  1 Tc 1.93, 1 Rh 2.02
O: 0.9863 0.3470 0.1325  1 Tc 1.93, 1 Rh 2.02
O: 0.3607 0.3470 0.3675  1 Tc 1.93, 1 Rh 2.02
O: 0.0137 0.6530 0.8675  1 Tc 1.93, 1 Rh 2.02
O: 0.0137 0.3607 0.6325  1 Tc 1.93, 1 Rh 2.02
O: 0.9863 0.6393 0.3675  1 Tc 1.93, 1 Rh 2.02
O: 0.6393 0.6530 0.6325  1 Tc 1.93, 1 Rh 2.02
O: 0.6530 0.0137 0.3675  1 Tc 1.93, 1 Rh 2.02
Tc: 0.3333 0.6667 0.7500  6 O 1.93
Tc: 0.6667 0.3333 0.2500  6 O 1.93
Mn: 0.0000 0.0000 0.0000  6 O 2.18
Mn: 0.0000 0.0000 0.5000  6 O 2.18

crystal system: trigonal
space-group type: P-31c (163)
raw total energy: -130.74 eV for the cell shown

=====

5.
The following is a PBE with a Hubbard U calculation of a geometry-optimized MnTeRh2O8 structure, from Alexandria.

Cell: 4.6924 4.5625 6.3112 Å, 90.00 90.00 90.43°
With the nearest neighbours (Å) after each atom.
Fractional positions:
O: 0.3300 0.2792 0.0000  1 Te 2.00, 2 Rh 2.05
O: 0.8295 0.2145 0.7586  1 Te 1.98, 1 Rh 2.03, 1 Mn 2.07
O: 0.6674 0.7143 0.5000  2 Rh 2.00, 1 Mn 2.03
O: 0.8295 0.2145 0.2414  1 Te 1.98, 1 Rh 2.03, 1 Mn 2.07
O: 0.6700 0.7208 0.0000  1 Te 2.00, 2 Rh 2.05
O: 0.1705 0.7855 0.7586  1 Te 1.98, 1 Rh 2.03, 1 Mn 2.07
O: 0.3326 0.2857 0.5000  2 Rh 2.00, 1 Mn 2.03
O: 0.1705 0.7855 0.2414  1 Te 1.98, 1 Rh 2.03, 1 Mn 2.07
Rh: 0.5000 0.5000 0.2535  6 O 2.00-2.05
Rh: 0.5000 0.5000 0.7465  6 O 2.00-2.05
Te: 0.0000 0.0000 0.0000  6 O 1.98-2.00
Mn: 0.0000 0.0000 0.5000  6 O 2.03-2.07

crystal system: monoclinic
space-group type: P2/m (10)
raw total energy: -76.34 eV for the cell shown

=====

6.
The following is a PBE with a Hubbard U calculation of a geometry-optimized MnTeRhO6 structure, from Alexandria.

Cell: 5.1994 5.1994 9.2558 Å, 90.00 90.00 120.00°
With the nearest neighbours (Å) after each atom.
Fractional positions:
O: 0.6424 0.9942 0.8663  1 Te 1.98, 1 Rh 2.01
O: 0.3518 0.3576 0.8663  1 Te 1.98, 1 Rh 2.01
O: 0.0058 0.3576 0.6337  1 Te 1.98, 1 Rh 2.01
O: 0.3518 0.9942 0.6337  1 Te 1.98, 1 Rh 2.01
O: 0.0058 0.6482 0.8663  1 Te 1.98, 1 Rh 2.01
O: 0.6424 0.6482 0.6337  1 Te 1.98, 1 Rh 2.01
O: 0.3576 0.3518 0.3663  1 Te 1.98, 1 Rh 2.01
O: 0.3576 0.0058 0.1337  1 Te 1.98, 1 Rh 2.01
O: 0.6482 0.0058 0.3663  1 Te 1.98, 1 Rh 2.01
O: 0.6482 0.6424 0.1337  1 Te 1.98, 1 Rh 2.01
O: 0.9942 0.3518 0.1337  1 Te 1.98, 1 Rh 2.01
O: 0.9942 0.6424 0.3663  1 Te 1.98, 1 Rh 2.01
Mn: 0.0000 0.0000 0.5000  6 O 2.22
Mn: 0.0000 0.0000 0.0000  6 O 2.22
Rh: 0.3333 0.6667 0.2500  6 O 2.01
Rh: 0.6667 0.3333 0.7500  6 O 2.01
Te: 0.3333 0.6667 0.7500  6 O 1.98
Te: 0.6667 0.3333 0.2500  6 O 1.98

crystal system: trigonal
space-group type: P-31c (163)
raw total energy: -114.72 eV for the cell shown

=====

7.
The following is a PBE with a Hubbard U calculation of a geometry-optimized TiMnRhO6 structure, from Alexandria.

Cell: 4.9520 4.9520 8.7820 Å, 90.00 90.00 120.00°
With the nearest neighbours (Å) after each atom.
Fractional positions:
Rh: 0.3333 0.6667 0.2500  6 O 2.00
Rh: 0.6667 0.3333 0.7500  6 O 2.00
O: 0.3294 0.9932 0.6249  1 Ti 1.96, 1 Mn 1.98, 1 Rh 2.00
O: 0.3362 0.3294 0.3751  1 Ti 1.96, 1 Mn 1.98, 1 Rh 2.00
O: 0.6638 0.9932 0.8751  1 Ti 1.96, 1 Mn 1.98, 1 Rh 2.00
O: 0.6706 0.6638 0.1249  1 Ti 1.96, 1 Mn 1.98, 1 Rh 2.00
O: 0.6706 0.0068 0.3751  1 Ti 1.96, 1 Mn 1.98, 1 Rh 2.00
O: 0.9932 0.3294 0.1249  1 Ti 1.96, 1 Mn 1.98, 1 Rh 2.00
O: 0.6638 0.6706 0.6249  1 Ti 1.96, 1 Mn 1.98, 1 Rh 2.00
O: 0.0068 0.6706 0.8751  1 Ti 1.96, 1 Mn 1.98, 1 Rh 2.00
O: 0.9932 0.6638 0.3751  1 Ti 1.96, 1 Mn 1.98, 1 Rh 2.00
O: 0.3294 0.3362 0.8751  1 Ti 1.96, 1 Mn 1.98, 1 Rh 2.00
O: 0.0068 0.3362 0.6249  1 Ti 1.96, 1 Mn 1.98, 1 Rh 2.00
O: 0.3362 0.0068 0.1249  1 Ti 1.96, 1 Mn 1.98, 1 Rh 2.00
Mn: 0.0000 0.0000 0.0000  6 O 1.98
Mn: 0.0000 0.0000 0.5000  6 O 1.98
Ti: 0.3333 0.6667 0.7500  6 O 1.96
Ti: 0.6667 0.3333 0.2500  6 O 1.96

crystal system: trigonal
space-group type: P-31c (163)
raw total energy: -133.51 eV for the cell shown

=====

8.
The following is a PBE with a Hubbard U calculation of a geometry-optimized Mn2Tl2RhO6 structure, from Alexandria.

Cell: 5.4089 5.4089 6.6443 Å, 96.79 96.79 121.77°
With the nearest neighbours (Å) after each atom.
Fractional positions:
Mn: 0.3355 0.6645 0.5000  6 O 1.98-2.10
Mn: 0.6645 0.3355 0.5000  6 O 1.98-2.10
O: 0.0565 0.3885 0.6545  2 Mn 1.98-2.10, 1 Rh 2.07
O: 0.6115 0.9435 0.3455  2 Mn 1.98-2.10, 1 Rh 2.07
O: 0.2833 0.2833 0.3351  1 Rh 2.05, 2 Mn 2.08
O: 0.9435 0.6115 0.3455  2 Mn 1.98-2.10, 1 Rh 2.07
O: 0.3885 0.0565 0.6545  2 Mn 1.98-2.10, 1 Rh 2.07
O: 0.7167 0.7167 0.6649  1 Rh 2.05, 2 Mn 2.08
Tl: 0.8376 0.1624 0.0000  6 O 2.81-2.90, 3 Tl 3.07-3.11
Tl: 0.1624 0.8376 0.0000  6 O 2.81-2.90, 3 Tl 3.07-3.11
Rh: 0.0000 0.0000 0.5000  6 O 2.05-2.07

crystal system: monoclinic
space-group type: C2/m (12)
raw total energy: -68.27 eV for the cell shown

=====

9.
The following is a PBE with a Hubbard U calculation of a geometry-optimized MnTl2RhO6 structure, from Alexandria.

Cell: 5.5911 5.5911 5.6895 Å, 60.57 60.57 60.00°
With the nearest neighbours (Å) after each atom.
Fractional positions:
O: 0.6643 0.0516 0.8349  1 Rh 2.02, 1 Mn 2.22, 1 Tl 2.24
O: 0.9623 0.5294 0.3238  1 Rh 2.04, 1 Mn 2.10, 1 Tl 2.24
O: 0.4492 0.6643 0.8349  1 Rh 2.02, 1 Mn 2.22, 1 Tl 2.24
O: 0.1845 0.9623 0.3238  1 Rh 2.04, 1 Mn 2.10, 1 Tl 2.24
O: 0.5294 0.1845 0.3238  1 Rh 2.04, 1 Mn 2.10, 1 Tl 2.24
O: 0.0516 0.4492 0.8349  1 Rh 2.02, 1 Mn 2.22, 1 Tl 2.24
Tl: 0.5943 0.5943 0.2171  6 O 2.24-2.47
Tl: 0.0880 0.0880 0.7359  6 O 2.24-2.51
Rh: 0.3154 0.3154 0.0537  6 O 2.02-2.04
Mn: 0.8225 0.8225 0.5325  6 O 2.10-2.22

crystal system: trigonal
space-group type: R3 (146)
raw total energy: -58.04 eV for the cell shown

=====

10.
The following is a PBE with a Hubbard U calculation of a geometry-optimized UMn2RhO8 structure, from Alexandria.

Cell: 4.8855 4.8820 6.1456 Å, 90.00 90.00 94.24°
With the nearest neighbours (Å) after each atom.
Fractional positions:
Rh: 0.0000 0.0000 0.0000  6 O 2.00-2.04
U: 0.0000 0.0000 0.5000  6 O 2.07-2.11
O: 0.3013 0.3003 0.0000  2 Mn 2.00, 1 Rh 2.00
O: 0.6987 0.6997 0.0000  2 Mn 2.00, 1 Rh 2.00
O: 0.8107 0.1902 0.7532  1 Rh 2.04, 1 U 2.07, 1 Mn 2.22
O: 0.3181 0.3172 0.5000  2 Mn 1.99, 1 U 2.11
O: 0.1893 0.8098 0.7532  1 Rh 2.04, 1 U 2.07, 1 Mn 2.22
O: 0.6819 0.6828 0.5000  2 Mn 1.99, 1 U 2.11
O: 0.8107 0.1902 0.2468  1 Rh 2.04, 1 U 2.07, 1 Mn 2.22
O: 0.1893 0.8098 0.2468  1 Rh 2.04, 1 U 2.07, 1 Mn 2.22
Mn: 0.5000 0.5000 0.2436  6 O 1.99-2.22
Mn: 0.5000 0.5000 0.7564  6 O 1.99-2.22

crystal system: orthorhombic
space-group type: Cmmm (65)
raw total energy: -95.19 eV for the cell shown